No. 1
DFT (GGA-PBE) results for a geometry-optimized K5Rb2Hg4 structure.

Output
Uncorrected energy   -0.92 eV/atom
Volume   557.8 Å³/f.u.
Offset from the most stable computed form   0 meV/atom
Energy of formation   -0.14 eV per atom
Total magnetic moment   0.000 μB/atom

Unit cell a=16.4450 b=8.2734 c=10.9815 alpha=90.00 beta=131.69 gamma=90.00
Closest atoms and distances in Å follow each position.
Space group C2/m (No. 12)
Symmetry-distinct sites (fractional):
K  0.0000  0.0000  0.0000 (multiplicity 2)  4 Hg 3.51-3.74
K  0.0322  0.2608  0.7113 (multiplicity 8)  3 Hg 3.54-3.69, 1 K 3.96
Rb  0.2122  0.5000  0.2629 (multiplicity 4)  4 Hg 4.00-4.27
Hg  0.2026  0.5000  0.6292 (multiplicity 4)  1 Hg 3.04
Hg  0.2291  0.0000  0.0365 (multiplicity 4)  1 Hg 3.04

***

No. 2
DFT (GGA-PBE) results for a geometry-optimized Sc6TcAg5 structure.

Output
Uncorrected energy   -5.50 eV/atom
Volume   236.0 Å³/f.u.
Energy of formation   -0.28 eV per atom
Total magnetic moment   0.000 μB/atom

Unit cell a=4.8022 b=14.3924 c=6.8280 alpha=90.00 beta=90.00 gamma=90.00
Closest atoms and distances in Å follow each position.
Space group Cmmm (No. 65)
Symmetry-distinct sites (fractional):
Sc  0.0000  0.0000  0.2341 (multiplicity 4)  2 Tc 2.88, 6 Ag 2.91-3.04, 1 Sc 3.20
Sc  0.0000  0.3415  0.2412 (multiplicity 8)  1 Tc 2.81, 7 Ag 2.89-3.05
Tc  0.0000  0.5000  0.0000 (multiplicity 2)  8 Sc 2.81-2.88
Ag  0.0000  0.1692  0.0000 (multiplicity 4)  8 Sc 2.91-2.98
Ag  0.0000  0.1690  0.5000 (multiplicity 4)  8 Sc 2.99-3.05
Ag  0.0000  0.5000  0.5000 (multiplicity 2)  8 Sc 2.89-3.01

***

No. 3
DFT (GGA-PBE) results for a geometry-optimized Tc2Ir5Ru5 structure.

Output
Uncorrected energy   -9.33 eV/atom
Volume   171.0 Å³/f.u.
Energy of formation   -0.05 eV per atom
Total magnetic moment   0.000 μB/atom

Unit cell a=4.7145 b=4.7158 c=9.0104 alpha=94.84 beta=95.07 gamma=119.95
Closest atoms and distances in Å follow each position.
Space group P-1 (No. 2)
Symmetry-distinct sites (fractional):
Tc  0.0837  0.4182  0.2501 (multiplicity 2)  6 Ru 2.70-2.74, 6 Ir 2.71-2.73
Ir  0.0000  0.0000  0.0000 (multiplicity 1)  2 Ir 2.71, 8 Ru 2.71-2.73, 2 Tc 2.73
Ir  0.1624  0.8295  0.4989 (multiplicity 2)  5 Ir 2.70-2.76, 2 Tc 2.71-2.72, 5 Ru 2.71-2.75
Ir  0.4166  0.0838  0.2488 (multiplicity 2)  6 Ru 2.70-2.74, 3 Ir 2.71-2.74, 3 Tc 2.72
Ru  0.2513  0.2531  0.7518 (multiplicity 2)  3 Ru 2.68-2.73, 6 Ir 2.71-2.75, 3 Tc 2.71-2.74
Ru  0.3307  0.6629  0.9979 (multiplicity 2)  5 Ru 2.68-2.75, 5 Ir 2.70-2.74, 2 Tc 2.70-2.72
Ru  0.5000  0.5000  0.5000 (multiplicity 1)  8 Ir 2.71-2.74, 2 Tc 2.72, 2 Ru 2.73